Nd8Er3Mg after structural relaxation, computed with PBE.

Values from the calculation:
Total moment = 0.00 μB per atom
ΔE_f = 0.53 eV per atom
DOS(E_F) = 1.499 states/eV per atom
V = 36.42 Å³/atom

abc: 8.441 8.441 8.441
angles: 118.02 118.02 93.46
Atoms (fractional coordinates):
Nd 0.125 0.125 0.745
Nd 0.240 0.736 0.000
Nd 0.264 0.264 0.504
Nd 0.380 0.380 0.255
Nd 0.620 0.875 0.000
Nd 0.736 0.240 0.000
Nd 0.760 0.760 0.496
Nd 0.875 0.620 0.000
Er 0.250 0.750 0.500
Er 0.500 0.500 0.000
Er 0.750 0.250 0.500
Mg 0.000 0.000 0.000

***

SmTh2S5 after structural relaxation, computed with PBE.

Values from the calculation:
Total moment = 0.00 μB per atom
DOS(E_F) = 0.233 states/eV per atom
V = 23.08 Å³/atom
DFT total energy = -0.51565 Ry/atom

abc: 12.218 8.026 7.531
angles: 90.00 90.00 90.00
Atoms (fractional coordinates):
Sm 0.005 0.250 0.076
Sm 0.495 0.750 0.576
Sm 0.505 0.250 0.424
Sm 0.995 0.750 0.924
Th 0.180 0.000 0.511
Th 0.180 0.500 0.511
Th 0.320 0.000 0.011
Th 0.320 0.500 0.011
Th 0.680 0.000 0.989
Th 0.680 0.500 0.989
Th 0.820 0.000 0.489
Th 0.820 0.500 0.489
S 0.001 0.250 0.465
S 0.107 0.539 0.160
S 0.107 0.961 0.160
S 0.185 0.250 0.822
S 0.212 0.750 0.795
S 0.288 0.250 0.295
S 0.315 0.750 0.322
S 0.393 0.039 0.660
S 0.393 0.461 0.660
S 0.499 0.750 0.965
S 0.501 0.250 0.035
S 0.607 0.539 0.340
S 0.607 0.961 0.340
S 0.685 0.250 0.678
S 0.712 0.750 0.705
S 0.788 0.250 0.205
S 0.815 0.750 0.178
S 0.893 0.039 0.840
S 0.893 0.461 0.840
S 0.999 0.750 0.535

***

KInRe after structural relaxation, computed with PBE.

Values from the calculation:
Total moment = 0.01 μB per atom
ΔE_f = 1.09 eV per atom
DOS(E_F) = 1.369 states/eV per atom
V = 27.58 Å³/atom

abc: 6.796 6.796 6.796
angles: 149.05 149.05 44.33
Atoms (fractional coordinates):
K 0.000 0.000 0.000
In 0.274 0.274 0.000
Re 0.712 0.712 0.000

***

LiPrZn2Pt2 after structural relaxation, computed with PBE.

Values from the calculation:
Total moment = 0.00 μB per atom
ΔE_f = -0.75 eV per atom
DOS(E_F) = 0.407 states/eV per atom
V = 18.73 Å³/atom

abc: 4.371 4.371 6.790
angles: 90.00 90.00 120.00
Atoms (fractional coordinates):
Li 0.000 0.000 0.000
Pr 0.000 0.000 0.500
Zn 0.333 0.667 0.835
Zn 0.667 0.333 0.165
Pt 0.333 0.667 0.226
Pt 0.667 0.333 0.774

***

LiZn4Ni15 after structural relaxation, computed with PBE.

Values from the calculation:
Total moment = 0.32 μB per atom
ΔE_f = -0.08 eV per atom
DOS(E_F) = 1.083 states/eV per atom
V = 11.35 Å³/atom

abc: 3.577 3.577 17.733
angles: 90.00 90.00 90.00
Atoms (fractional coordinates):
Li 0.000 0.000 0.000
Zn 0.000 0.000 0.198
Zn 0.000 0.000 0.399
Zn 0.000 0.000 0.601
Zn 0.000 0.000 0.802
Ni 0.000 0.500 0.097
Ni 0.000 0.500 0.299
Ni 0.000 0.500 0.500
Ni 0.000 0.500 0.701
Ni 0.000 0.500 0.903
Ni 0.500 0.000 0.097
Ni 0.500 0.000 0.299
Ni 0.500 0.000 0.500
Ni 0.500 0.000 0.701
Ni 0.500 0.000 0.903
Ni 0.500 0.500 0.000
Ni 0.500 0.500 0.197
Ni 0.500 0.500 0.399
Ni 0.500 0.500 0.601
Ni 0.500 0.500 0.803

***

CuSnP3 after structural relaxation, computed with PBE.

Values from the calculation:
Total moment = 0.00 μB per atom
ΔE_f = 0.70 eV per atom
DOS(E_F) = 0.909 states/eV per atom
V = 19.22 Å³/atom

abc: 4.581 4.581 4.581
angles: 90.00 90.00 90.00
Atoms (fractional coordinates):
Cu 0.000 0.000 0.000
Sn 0.500 0.500 0.500
P 0.000 0.000 0.500
P 0.000 0.500 0.000
P 0.500 0.000 0.000